1.
{"formula": "BaNa2NiF6", "functional": "GGA+U", "state": "optimized geometry", "lattice_angstrom": [[5.9150, 0.0000, 0.0000], [0.0000, 5.9578, 0.0000], [-5.5962, 0.0000, 8.6155]], "species": ["Ba", "Ba", "Na", "Na", "Na", "Na", "Ni", "Ni", "F", "F", "F", "F", "F", "F", "F", "F", "F", "F", "F", "F"], "frac_coords": [[0.0000, 0.0000, 0.0000], [0.0000, 0.5000, 0.5000], [0.2766, 0.0597, 0.7675], [0.2766, 0.4403, 0.2675], [0.7234, 0.5597, 0.7325], [0.7234, 0.9403, 0.2325], [0.5000, 0.0000, 0.5000], [0.5000, 0.5000, 0.0000], [0.1376, 0.0747, 0.2865], [0.1376, 0.4253, 0.7865], [0.3074, 0.6506, 0.0891], [0.3074, 0.8494, 0.5891], [0.4403, 0.2001, 0.0678], [0.4403, 0.2999, 0.5678], [0.5597, 0.7001, 0.4322], [0.5597, 0.7999, 0.9322], [0.6926, 0.1506, 0.4109], [0.6926, 0.3494, 0.9109], [0.8624, 0.5747, 0.2135], [0.8624, 0.9253, 0.7135]], "rho_g_cm3": 3.9, "magmom_total_mub_per_cell": 3.960, "energy_ev_per_cell": -93.6}



2.
{"formula": "BaNa2NiF", "functional": "GGA+U", "state": "optimized geometry", "lattice_angstrom": [[4.7378, 0.0000, 0.0000], [0.0000, 4.7378, 0.0000], [0.0000, 0.0000, 6.5828]], "species": ["Ba", "Na", "Na", "Ni", "F"], "frac_coords": [[0.0000, 0.0000, 0.0000], [0.0000, 0.5000, 0.5000], [0.5000, 0.0000, 0.5000], [0.5000, 0.5000, 0.5000], [0.5000, 0.5000, 0.0000]], "rho_g_cm3": 2.9, "magmom_total_mub_per_cell": 0.000, "energy_ev_per_cell": -9.1}



Question: What is the formula in the second record?
Answer: BaNa2NiF